(1)
Here is a geometry-optimized MgFeSi2 structure from Alexandria via LeMat-Bulk. Energies are from GGA-PBE.

Geometry as POSCAR:
```
MgFeSi2
1.0
-2.533 2.821 -1.435
-1.256 -2.009 -1.732
-3.128 -0.989 3.576
Mg Fe Si
1 1 2
Direct
0.500 0.750 0.750
0.500 0.250 0.250
0.000 0.261 0.005
0.000 0.239 0.495
```

Results
- Fermi-level density of states (states/eV/f.u.) = 2.77
- symmetry = P2/m
- raw total energy (eV/atom) = -5.20
- E_form (uncorrected) (meV per atom) = 26

=====

(2)
Here is a geometry-optimized Mg2FeSi structure from Alexandria via LeMat-Bulk. Energies are from GGA-PBE.

Geometry as POSCAR:
```
Mg2FeSi
1.0
4.983 0.032 -0.130
-2.063 4.536 -0.130
0.076 0.119 2.800
Mg Si Fe
2 1 1
Direct
0.000 0.000 0.000
0.500 0.500 0.000
0.500 0.000 0.500
0.000 0.500 0.500
```

Results
- Fermi-level density of states (states/eV/f.u.) = 2.18
- symmetry = Cmmm
- raw total energy (eV/atom) = -4.10
- E_form (uncorrected) (meV per atom) = 173

=====

(3)
Here is a geometry-optimized MgFeSi structure from Alexandria via LeMat-Bulk. Energies are from GGA-PBE.

Geometry as POSCAR:
```
MgFeSi
1.0
3.963 0.000 0.000
-1.982 3.432 0.000
0.000 0.000 3.138
Fe Mg Si
1 1 1
Direct
0.000 0.000 0.833
0.333 0.667 0.334
0.667 0.333 0.833
```

Results
- Fermi-level density of states (states/eV/f.u.) = 2.30
- symmetry = P-6m2
- raw total energy (eV/atom) = -5.22
- E_form (uncorrected) (meV per atom) = -58

=====

(4)
Here is a geometry-optimized Mg2FeSi structure from Alexandria via LeMat-Bulk. Energies are from GGA-PBE.

Geometry as POSCAR:
```
Mg2FeSi
1.0
3.999 0.000 0.000
0.000 3.964 0.000
0.000 0.000 3.964
Fe Mg Si
1 2 1
Direct
0.500 0.000 0.500
0.000 0.000 0.000
0.000 0.500 0.500
0.500 0.500 0.000
```

Results
- Fermi-level density of states (states/eV/f.u.) = 2.89
- symmetry = P4/mmm
- raw total energy (eV/atom) = -4.16
- E_form (uncorrected) (meV per atom) = 107

=====

(5)
Here is a geometry-optimized MgFeSi structure from Alexandria via LeMat-Bulk. Energies are from GGA-PBE.

Geometry as POSCAR:
```
MgFeSi
1.0
-2.463 2.900 3.392
-3.164 -1.210 3.809
4.444 -0.990 -2.293
Mg Si Fe
1 1 1
Direct
0.338 0.338 0.000
0.635 0.635 0.000
0.028 0.028 0.000
```

Results
- Fermi-level density of states (states/eV/f.u.) = 0.39
- symmetry = I4mm
- raw total energy (eV/atom) = -5.34
- E_form (uncorrected) (meV per atom) = -180

=====

(6)
Here is a geometry-optimized Mg2FeSi structure from Alexandria via LeMat-Bulk. Energies are from GGA-PBE.

Geometry as POSCAR:
```
Mg2FeSi
1.0
2.996 0.000 0.000
0.000 2.996 0.000
0.000 0.000 7.044
Si Fe Mg
1 1 2
Direct
0.000 0.000 0.560
0.500 0.500 0.696
0.000 0.000 0.951
0.500 0.500 0.293
```

Results
- Fermi-level density of states (states/eV/f.u.) = 1.87
- symmetry = P4mm
- raw total energy (eV/atom) = -4.36
- E_form (uncorrected) (meV per atom) = -92